1.
Below is an optimized crystal structure of Pm3DyTh4S8, with properties calculated at the GGA-PBE level.

Structure (CIF):
```
data_Pm3DyTh4S8
_symmetry_space_group_name_H-M 'R -3 m'
_symmetry_Int_Tables_number 166
_symmetry_space_group_name_Hall '-R 3 2"'
_cell_length_a 7.9482
_cell_length_b 7.9482
_cell_length_c 20.1443
_cell_angle_alpha 90.00
_cell_angle_beta 90.00
_cell_angle_gamma 120.00
loop_
_atom_site_label
_atom_site_type_symbol
_atom_site_fract_x
_atom_site_fract_y
_atom_site_fract_z
_atom_site_occupancy
Pm1 Pm 0.0000 0.5000 0.0000 1
Dy1 Dy 0.0000 0.0000 0.0000 1
Th1 Th 0.0000 0.0000 0.5000 1
Th2 Th 0.0000 0.5000 0.5000 1
S1 S 0.0000 0.0000 0.2514 1
S2 S 0.0053 0.5026 0.7474 1
```

2.
Below is an optimized crystal structure of PmDyTh2S4, with properties calculated at the GGA-PBE level.

Structure (CIF):
```
data_PmDyTh2S4
_symmetry_space_group_name_H-M 'P 1 2/m 1'
_symmetry_Int_Tables_number 10
_cell_length_a 6.854
_cell_length_b 4.001
_cell_length_c 7.023
_cell_angle_alpha 90.00
_cell_angle_beta 109.25
_cell_angle_gamma 90.00
loop_
_symmetry_equiv_pos_as_xyz
'x,y,z'
'-x,-y,-z'
'-x,y,-z'
'x,-y,z'
loop_
_atom_site_label
_atom_site_type_symbol
_atom_site_fract_x
_atom_site_fract_y
_atom_site_fract_z
_atom_site_occupancy
Pm1 Pm 0.000 0.000 0.000 1
Dy1 Dy 0.500 0.500 0.000 1
Th1 Th 0.000 0.500 0.500 1
Th2 Th 0.500 0.000 0.500 1
S1 S 0.253 0.500 0.242 1
S2 S 0.259 0.000 0.761 1
```

3.
Below is an optimized crystal structure of PmDyTl2S4, with properties calculated at the GGA-PBE level.

Structure (CIF):
```
data_PmDyTl2S4
_symmetry_space_group_name_H-M 'P 1 2/m 1'
_symmetry_Int_Tables_number 10
_cell_length_a 7.087
_cell_length_b 4.090
_cell_length_c 7.874
_cell_angle_alpha 90.00
_cell_angle_beta 107.43
_cell_angle_gamma 90.00
loop_
_symmetry_equiv_pos_as_xyz
'x,y,z'
'-x,-y,-z'
'-x,y,-z'
'x,-y,z'
loop_
_atom_site_label
_atom_site_type_symbol
_atom_site_fract_x
_atom_site_fract_y
_atom_site_fract_z
_atom_site_occupancy
Pm1 Pm 0.000 0.000 0.000 1
Dy1 Dy 0.500 0.500 0.000 1
Tl1 Tl 0.000 0.500 0.500 1
Tl2 Tl 0.500 0.000 0.500 1
S1 S 0.240 0.500 0.202 1
S2 S 0.273 0.000 0.801 1
```

4.
Below is an optimized crystal structure of Pm3DyTl4S8, with properties calculated at the GGA-PBE level.

Structure (CIF):
```
data_Pm3DyTl4S8
_symmetry_space_group_name_H-M 'R -3 m'
_symmetry_Int_Tables_number 166
_symmetry_space_group_name_Hall '-R 3 2"'
_cell_length_a 8.2407
_cell_length_b 8.2407
_cell_length_c 22.5201
_cell_angle_alpha 90.00
_cell_angle_beta 90.00
_cell_angle_gamma 120.00
loop_
_atom_site_label
_atom_site_type_symbol
_atom_site_fract_x
_atom_site_fract_y
_atom_site_fract_z
_atom_site_occupancy
Pm1 Pm 0.0000 0.5000 0.0000 1
Dy1 Dy 0.0000 0.0000 0.0000 1
Tl1 Tl 0.0000 0.0000 0.5000 1
Tl2 Tl 0.0000 0.5000 0.5000 1
S1 S 0.0000 0.0000 0.2654 1
S2 S 0.0062 0.5031 0.7336 1
```

no.,volume (Å³ per atom),E_form (uncorrected) (eV per atom)
1,22.96,-1.926
2,22.72,-1.912
3,27.21,-1.475
4,27.59,-1.470